1.
{"formula": "Cs2MgRu", "functional": "PBE", "state": "relaxed", "formation_enthalpy_0k_ev_per_atom": 0.824, "spacegroup": "No. 141", "m_tot_mub_per_fu": 0.00, "de_polymorph_ev_per_atom": 0.000, "lattice_angstrom": [[-6.1961, 6.1961, 2.5842], [6.1961, -6.1961, 2.5842], [6.1961, 6.1961, -2.5842]], "species": ["Cs", "Cs", "Cs", "Cs", "Mg", "Mg", "Ru", "Ru"], "fractional_positions": [[0.1250, 0.3750, 0.2500], [0.1250, 0.8750, 0.7500], [0.1250, 0.8750, 0.2500], [0.6250, 0.8750, 0.7500], [0.5000, 0.5000, 0.0000], [0.7500, 0.2500, 0.5000], [0.0000, 0.0000, 0.0000], [0.2500, 0.7500, 0.5000]]}

***

2.
{"formula": "Cs2Mg2Ru", "functional": "PBE", "state": "relaxed", "formation_enthalpy_0k_ev_per_atom": 1.314, "spacegroup": "No. 139", "m_tot_mub_per_fu": 2.01, "lattice_angstrom": [[4.6101, 0.0000, 0.0000], [0.0000, 4.6101, 0.0000], [2.3051, 2.3051, 8.7336]], "species": ["Cs", "Cs", "Ru", "Mg", "Mg"], "fractional_positions": [[0.7500, 0.2500, 0.5000], [0.2500, 0.7500, 0.5000], [0.0000, 0.0000, 0.0000], [0.4237, 0.4237, 0.1527], [0.5763, 0.5763, 0.8473]]}

***

3.
{"formula": "Cs3MgRu", "functional": "PBE", "state": "relaxed", "formation_enthalpy_0k_ev_per_atom": 0.949, "spacegroup": "No. 221", "m_tot_mub_per_fu": 0.00, "lattice_angstrom": [[-5.8989, -0.8143, -1.7040], [-0.0441, -5.5277, 2.7939], [-1.8880, 2.6730, 5.2587]], "species": ["Cs", "Cs", "Cs", "Ru", "Mg"], "fractional_positions": [[0.0000, 0.5000, 0.0000], [0.0000, 0.0000, 0.5000], [0.5000, 0.0000, 0.0000], [0.0000, 0.0000, 0.0000], [0.5000, 0.5000, 0.5000]]}

***

4.
{"formula": "CsMg3Ru", "functional": "PBE", "state": "relaxed", "formation_enthalpy_0k_ev_per_atom": 2.320, "spacegroup": "No. 221", "m_tot_mub_per_fu": 0.01, "de_polymorph_ev_per_atom": 1.998, "lattice_angstrom": [[5.8915, 0.0000, 0.0000], [0.0000, 5.8915, 0.0000], [0.0000, 0.0000, 5.8915]], "species": ["Cs", "Ru", "Mg", "Mg", "Mg"], "fractional_positions": [[0.0000, 0.0000, 0.0000], [0.5000, 0.5000, 0.5000], [0.0000, 0.5000, 0.0000], [0.0000, 0.0000, 0.5000], [0.5000, 0.0000, 0.0000]]}

***

5.
{"formula": "CsMg3Ru", "functional": "PBE", "state": "relaxed", "formation_enthalpy_0k_ev_per_atom": 0.322, "spacegroup": "No. 221", "m_tot_mub_per_fu": 0.00, "de_polymorph_ev_per_atom": 0.000, "lattice_angstrom": [[-1.4747, -5.0248, 0.6273], [2.0155, -1.1819, -4.7284], [4.6454, -1.0824, 2.2507]], "species": ["Cs", "Ru", "Mg", "Mg", "Mg"], "fractional_positions": [[0.5000, 0.5000, 0.5000], [0.0000, 0.0000, 0.0000], [0.0000, 0.5000, 0.0000], [0.0000, 0.0000, 0.5000], [0.5000, 0.0000, 0.0000]]}

***

6.
{"formula": "Cs2MgRu", "functional": "PBE", "state": "relaxed", "formation_enthalpy_0k_ev_per_atom": 1.247, "spacegroup": "No. 225", "m_tot_mub_per_fu": 2.02, "de_polymorph_ev_per_atom": 0.423, "lattice_angstrom": [[0.0000, 4.2353, 4.2353], [4.2353, 0.0000, 4.2353], [4.2353, 4.2353, 0.0000]], "species": ["Cs", "Cs", "Ru", "Mg"], "fractional_positions": [[0.2500, 0.2500, 0.2500], [0.7500, 0.7500, 0.7500], [0.5000, 0.5000, 0.5000], [0.0000, 0.0000, 0.0000]]}

***

7.
{"formula": "CsMgTl2Ru", "functional": "PBE", "state": "relaxed", "formation_enthalpy_0k_ev_per_atom": 0.066, "spacegroup": "No. 123", "m_tot_mub_per_fu": 0.00, "lattice_angstrom": [[-0.2918, -4.5822, 2.8753], [4.9560, 0.9277, 1.9815], [-2.1013, 2.6524, 4.0137]], "species": ["Cs", "Ru", "Tl", "Tl", "Mg"], "fractional_positions": [[0.5000, 0.5000, 0.5000], [0.0000, 0.0000, 0.0000], [0.0000, 0.5000, 0.0000], [0.5000, 0.0000, 0.0000], [0.0000, 0.0000, 0.5000]]}

***

8.
{"formula": "CsMgRu2W", "functional": "PBE", "state": "relaxed", "formation_enthalpy_0k_ev_per_atom": 1.674, "spacegroup": "No. 123", "m_tot_mub_per_fu": 0.00, "lattice_angstrom": [[4.7929, 0.0000, 0.0000], [0.0000, 5.7795, 0.0000], [0.0000, 0.0000, 4.7929]], "species": ["Cs", "Ru", "Ru", "Mg", "W"], "fractional_positions": [[0.0000, 0.5000, 0.0000], [0.0000, 0.0000, 0.5000], [0.5000, 0.0000, 0.0000], [0.5000, 0.5000, 0.5000], [0.0000, 0.0000, 0.0000]]}